A plane-wave DFT calculation with PBE with a Hubbard U was carried out for a relaxed Li6V3P8O29 crystal.

Values from the calculation:
* total energy: -7.024 eV per atom
* magnetization: 3.0 μB/f.u.
* V: 12.83 Å³ per atom
* space-group type: Cc (9)
* offset from the most stable computed form: 1 meV/atom

```
Li6V3P8O29
1.0
-0.617 -0.241 9.789
-2.069 -8.434 4.567
13.856 -2.812 0.557
Li V P O
12 6 16 58
Direct
0.909 0.782 0.930
0.782 0.909 0.430
0.917 0.306 0.441
0.651 0.668 0.610
0.668 0.651 0.110
0.839 0.185 0.955
0.306 0.917 0.941
0.681 0.216 0.560
0.185 0.839 0.455
0.216 0.681 0.060
0.242 0.110 0.552
0.110 0.242 0.052
0.564 0.442 0.746
0.442 0.564 0.246
0.572 0.999 0.248
0.439 0.001 0.761
0.999 0.572 0.748
0.001 0.439 0.261
0.907 0.761 0.151
0.761 0.907 0.651
0.911 0.319 0.657
0.666 0.667 0.872
0.667 0.666 0.372
0.787 0.309 0.162
0.684 0.234 0.341
0.319 0.911 0.157
0.702 0.084 0.833
0.309 0.787 0.662
0.234 0.684 0.841
0.331 0.328 0.636
0.328 0.331 0.136
0.084 0.702 0.333
0.238 0.084 0.342
0.084 0.238 0.842
0.000 0.831 0.405
0.910 0.745 0.663
0.831 0.000 0.905
0.745 0.910 0.163
0.885 0.618 0.174
0.810 0.679 0.837
0.884 0.488 0.674
0.994 0.246 0.930
0.935 0.328 0.164
0.679 0.810 0.337
0.618 0.885 0.674
0.814 0.509 0.336
0.664 0.660 0.978
0.660 0.664 0.478
0.668 0.521 0.822
0.488 0.884 0.174
0.509 0.814 0.836
0.749 0.332 0.653
0.803 0.217 0.260
0.752 0.247 0.435
0.782 0.215 0.081
0.637 0.476 0.171
0.521 0.668 0.322
0.656 0.259 0.831
0.476 0.637 0.671
0.328 0.935 0.664
0.772 0.022 0.728
0.746 0.984 0.558
0.246 0.994 0.430
0.672 0.083 0.336
0.522 0.378 0.319
0.332 0.749 0.153
0.481 0.346 0.654
0.378 0.522 0.819
0.247 0.752 0.935
0.215 0.782 0.581
0.217 0.803 0.760
0.259 0.656 0.331
0.480 0.186 0.172
0.563 0.057 0.845
0.346 0.481 0.154
0.274 0.321 0.038
0.321 0.274 0.538
0.186 0.480 0.672
0.392 0.086 0.325
0.352 0.191 0.703
0.083 0.672 0.836
0.022 0.772 0.228
0.984 0.746 0.058
0.057 0.563 0.345
0.191 0.352 0.203
0.086 0.392 0.825
0.250 0.093 0.848
0.239 0.008 0.071
0.214 0.000 0.249
0.093 0.250 0.348
0.008 0.239 0.571
0.000 0.214 0.749
```